## HoTe2Pb (PBE)

Data for a geometry-optimized HoTe2Pb structure.

Unit cell a=4.1713 b=4.1713 c=10.3208 alpha=78.34 beta=78.34 gamma=60.00
Last column: nearest neighbours and their distance in Å.
Fractional positions:
1 Pb 0.0000 0.0000 0.0000  2 Te 3.18
2 Te 0.1055 0.1055 0.6834  3 Ho 3.03, 1 Pb 3.18
3 Te 0.8945 0.8945 0.3166  3 Ho 3.03, 1 Pb 3.18
4 Ho 0.5000 0.5000 0.5000  6 Te 3.03

Properties
**Formation energy without anion corrections**: -3.075 eV/f.u.
**DOS at the Fermi energy**: 0.3433 states/eV per atom
**Calculated total energy**: -17.64 eV/f.u.